# 1
# Zr9ScO20

Zr9ScO20 at its PBEsol-relaxed geometry (meta-GGA SCAN, Alexandria).

Unit cell a=6.2699 b=7.2314 c=8.0467 alpha=77.15 beta=75.15 gamma=72.78
Last column: nearest neighbours and their distance in Å.
Fractional positions:
Zr  0.9999  0.4988  0.9947  5 O 2.06-2.29
Zr  0.4004  0.5988  0.2015  4 O 2.07-2.08
Zr  0.2006  0.8003  0.5996  4 O 2.07-2.08
Zr  0.8004  0.1998  0.4024  4 O 2.06-2.08
Zr  0.9986  0.0012  0.9990  4 O 2.07-2.08
Zr  0.3985  0.1008  0.2058  5 O 2.06-2.30
Zr  0.8070  0.6958  0.4003  5 O 2.06-2.29
Zr  0.6002  0.3996  0.7973  4 O 2.07-2.08
Zr  0.5935  0.9046  0.7993  5 O 2.06-2.28
O  0.6767  0.1205  0.9411  2 Zr 2.08
O  0.8163  0.3878  0.5553  3 Zr 2.06-2.29
O  0.4848  0.3158  0.3340  3 Zr 2.07-2.30
O  0.2266  0.9728  0.7642  3 Zr 2.07-2.28
O  0.6188  0.5797  0.9590  2 Zr 2.08
O  0.3800  0.9195  0.0430  2 Zr 2.08-2.09
O  0.3176  0.3796  0.0615  2 Zr 2.08
O  0.2755  0.5238  0.7465  3 Zr 2.07-2.29
O  0.7231  0.9778  0.2589  2 Zr 2.08-2.09
O  0.9771  0.3165  0.8398  1 Zr 2.06, 1 Sc 2.08
O  0.4224  0.7812  0.3601  2 Zr 2.07-2.08
O  0.1270  0.5813  0.4580  1 Zr 2.06, 1 Sc 2.08
O  0.0810  0.7197  0.1393  2 Zr 2.08
O  0.0197  0.1804  0.1602  2 Zr 2.08
O  0.7792  0.5214  0.2374  2 Zr 2.08-2.09
O  0.5236  0.1834  0.6586  1 Zr 2.06, 1 Sc 2.08
O  0.5803  0.7197  0.6392  2 Zr 2.08
O  0.1760  0.1176  0.4432  1 Zr 2.06, 1 Sc 2.08
O  0.8783  0.9180  0.5405  2 Zr 2.08
O  0.9159  0.7831  0.8608  2 Zr 2.08-2.09
Sc  0.2008  0.3006  0.5996  4 O 2.08

Output
Uncorrected energy (eV/cell): -525.2
Formation energy without anion corrections (eV per atom): -3.67
Space group: P1 (1)


# 2
# Zr8Sc2O19

Zr8Sc2O19 at its PBEsol-relaxed geometry (meta-GGA SCAN, Alexandria).

Unit cell a=3.5810 b=3.5820 c=25.3217 alpha=90.00 beta=90.00 gamma=90.00
Last column: nearest neighbours and their distance in Å.
Fractional positions:
O  0.5000  0.0000  0.0446  2 Zr 2.07, 2 Sc 2.23
O  0.5000  0.0000  0.2554  2 Zr 2.07, 2 Sc 2.24
O  0.0000  0.5000  0.8580  4 Zr 2.11-2.30
O  0.5000  0.0000  0.3559  2 Zr 2.09
O  0.0000  0.5000  0.3383  2 Zr 2.08
O  0.5000  0.0000  0.5535  4 Zr 2.14-2.25
O  0.0000  0.5000  0.6499  4 Zr 2.19-2.20
O  0.0000  0.5000  0.9616  2 Zr 2.08
O  0.5000  0.0000  0.7471  4 Zr 2.15-2.25
O  0.5000  0.0000  0.1500  4 Sc 2.23
O  0.0000  0.5000  0.4419  4 Zr 2.10-2.31
O  0.0000  0.5000  0.0654  2 Sc 1.96
O  0.0000  0.5000  0.7541  4 Zr 2.14-2.25
O  0.5000  0.0000  0.9443  4 Zr 2.09-2.34
O  0.5000  0.0000  0.6503  4 Zr 2.19-2.20, 2 O 2.45
O  0.0000  0.5000  0.2344  2 Sc 1.96
O  0.0000  0.5000  0.5457  4 Zr 2.14-2.26
O  0.5000  0.0000  0.8449  4 Zr 2.11-2.30
O  0.5000  0.0000  0.4554  4 Zr 2.11-2.30
Sc  0.0000  0.0000  0.0973  2 O 1.96
Sc  0.5000  0.5000  0.2026  2 O 1.96
Zr  0.5000  0.5000  0.0037  4 O 2.07-2.08
Zr  0.5000  0.5000  0.8006  8 O 2.11-2.30
Zr  0.0000  0.0000  0.7002  8 O 2.15-2.25
Zr  0.5000  0.5000  0.3982  6 O 2.09-2.30
Zr  0.0000  0.0000  0.2963  4 O 2.07-2.08
Zr  0.0000  0.0000  0.4995  8 O 2.11-2.31
Zr  0.5000  0.5000  0.6000  8 O 2.14-2.26
Zr  0.0000  0.0000  0.9018  6 O 2.09-2.30

Output
Uncorrected energy (eV/cell): -500.8
Formation energy without anion corrections (eV per atom): -3.73
Space group: Pmm2 (25)


# 3
# Zr3Sc4O12

Zr3Sc4O12 at its PBEsol-relaxed geometry (meta-GGA SCAN, Alexandria).

Unit cell a=6.1217 b=6.1496 c=12.2816 alpha=99.58 beta=99.45 gamma=99.52
Last column: nearest neighbours and their distance in Å.
Fractional positions:
O  0.8205  0.5820  0.7121  2 Zr 2.07-2.16, 2 Sc 2.14-2.23
O  0.5828  0.4241  0.9108  3 Sc 2.05-2.21, 1 Zr 2.15
O  0.6723  0.9247  0.0317  1 Zr 2.09, 2 Sc 2.11-2.13
O  0.3186  0.1039  0.9700  2 Zr 2.07-2.10, 1 Sc 2.09
O  0.4223  0.8217  0.7870  2 Sc 2.11-2.18, 2 Zr 2.14-2.22
O  0.5784  0.4145  0.4103  3 Sc 2.07-2.14, 1 Zr 2.21
O  0.6736  0.9045  0.5282  2 Zr 2.08, 1 Sc 2.11
O  0.5771  0.1782  0.7087  3 Sc 2.05-2.26, 1 Zr 2.13
O  0.0975  0.9419  0.1599  2 Zr 2.07-2.10, 1 Sc 2.10
O  0.3200  0.0945  0.4722  2 Zr 2.06-2.08, 1 Sc 2.10
O  0.9011  0.0584  0.8392  2 Zr 2.07-2.08, 1 Sc 2.10
O  0.1806  0.4223  0.7851  3 Sc 2.05-2.24, 1 Zr 2.11
O  0.9447  0.3149  0.5523  2 Zr 2.07-2.08, 1 Sc 2.10
O  0.9415  0.3243  0.0456  2 Zr 2.07-2.11, 1 Sc 2.10
O  0.1805  0.4208  0.2878  1 Zr 2.06, 3 Sc 2.13-2.17
O  0.4248  0.5791  0.5911  2 Zr 2.06-2.22, 2 Sc 2.13-2.17
O  0.0615  0.6707  0.4618  1 Zr 2.08, 2 Sc 2.12-2.13
O  0.9210  0.0616  0.3370  1 Zr 2.06, 2 Sc 2.13-2.15
O  0.8207  0.5782  0.2104  3 Sc 2.07-2.16, 1 Zr 2.22
O  0.4254  0.5756  0.0895  3 Sc 2.07-2.19, 1 Zr 2.13
O  0.0768  0.9358  0.6628  2 Zr 2.10-2.12, 1 Sc 2.16
O  0.4228  0.8233  0.2919  3 Sc 2.06-2.23, 1 Zr 2.15
O  0.0622  0.6794  0.9525  1 Zr 2.05, 2 Sc 2.08-2.09
O  0.5707  0.1799  0.2113  2 Zr 2.09-2.14, 2 Sc 2.18-2.23
Sc  0.8635  0.3925  0.8427  6 O 2.05-2.26
Sc  0.3203  0.1464  0.8044  6 O 2.05-2.21
Sc  0.6793  0.8577  0.1951  6 O 2.07-2.19
Sc  0.6103  0.3159  0.5703  6 O 2.05-2.23
Sc  0.8601  0.3936  0.3396  6 O 2.07-2.23
Sc  0.3899  0.6728  0.4275  6 O 2.06-2.17
Sc  0.1429  0.6100  0.1578  6 O 2.07-2.23
Sc  0.3929  0.6810  0.9305  6 O 2.08-2.24
Zr  0.3099  0.1375  0.3074  6 O 2.06-2.21
Zr  0.1391  0.6090  0.6567  6 O 2.06-2.22
Zr  0.6130  0.3142  0.0692  6 O 2.07-2.22
Zr  0.9982  0.9952  0.9989  6 O 2.05-2.11
Zr  0.6873  0.8660  0.6940  6 O 2.07-2.22
Zr  0.9958  0.9941  0.4966  6 O 2.06-2.12

Output
Uncorrected energy (eV/cell): -593.1
Formation energy without anion corrections (eV per atom): -3.83
Space group: P1 (1)


# 4
# ZrSc3O

ZrSc3O at its PBEsol-relaxed geometry (meta-GGA SCAN, Alexandria).

Unit cell a=4.4677 b=4.4677 c=4.4677 alpha=90.00 beta=90.00 gamma=90.00
Last column: nearest neighbours and their distance in Å.
Fractional positions:
Sc  0.5000  0.0000  0.0000  2 O 2.23
Sc  0.0000  0.5000  0.0000  2 O 2.23
Sc  0.0000  0.0000  0.5000  2 O 2.23
O  0.0000  0.0000  0.0000  6 Sc 2.23
Zr  0.5000  0.5000  0.5000  12 Sc 3.16

Output
Uncorrected energy (eV/cell): -85.6
Formation energy without anion corrections (eV per atom): -1.19
Space group: Pm-3m (221)


# 5
# SeO2

SeO2 at its PBEsol-relaxed geometry (meta-GGA SCAN, Alexandria).

Unit cell a=5.0745 b=8.3011 c=8.3011 alpha=90.00 beta=90.00 gamma=90.00
Last column: nearest neighbours and their distance in Å.
Fractional positions:
Se  0.0000  0.8660  0.7928  3 O 1.66-1.82
Se  0.0000  0.3660  0.7072  3 O 1.66-1.82
Se  0.0000  0.1340  0.2072  3 O 1.66-1.82
Se  0.5000  0.2072  0.8660  3 O 1.66-1.82
Se  0.5000  0.7928  0.1340  3 O 1.66-1.82
Se  0.5000  0.7072  0.6340  3 O 1.66-1.82
Se  0.5000  0.2928  0.3660  3 O 1.66-1.82
Se  0.0000  0.6340  0.2928  3 O 1.66-1.82
O  0.2500  0.8640  0.6360  2 Se 1.82
O  0.2500  0.3640  0.8640  2 Se 1.82
O  0.7500  0.8640  0.6360  2 Se 1.82
O  0.7500  0.1360  0.3640  2 Se 1.82
O  0.2500  0.1360  0.3640  2 Se 1.82
O  0.7500  0.3640  0.8640  2 Se 1.82
O  0.5000  0.1736  0.0627  1 Se 1.66
O  0.2500  0.6360  0.1360  2 Se 1.82
O  0.7500  0.6360  0.1360  2 Se 1.82
O  0.5000  0.3264  0.5627  1 Se 1.66
O  0.0000  0.5627  0.6736  1 Se 1.66
O  0.5000  0.6736  0.4373  1 Se 1.66
O  0.0000  0.0627  0.8264  1 Se 1.66
O  0.0000  0.4373  0.3264  1 Se 1.66
O  0.5000  0.8264  0.9373  1 Se 1.66
O  0.0000  0.9373  0.1736  1 Se 1.66

Output
Uncorrected energy (eV/cell): -278.8
Formation energy without anion corrections (eV per atom): -0.77
Space group: P4_2/mbc (135)


# 6
# SeO2

SeO2 at its PBEsol-relaxed geometry (meta-GGA SCAN, Alexandria).

Unit cell a=4.3996 b=5.0975 c=15.5980 alpha=90.00 beta=90.00 gamma=90.00
Last column: nearest neighbours and their distance in Å.
Fractional positions:
Se  0.8914  0.0000  0.0642  3 O 1.65-1.82
Se  0.1086  0.0000  0.5642  3 O 1.65-1.82
Se  0.0562  0.5000  0.7494  3 O 1.65-1.82
Se  0.9438  0.5000  0.2494  3 O 1.65-1.82
Se  0.6728  0.0000  0.8149  3 O 1.65-1.82
Se  0.4850  0.5000  0.4966  3 O 1.64-1.82
Se  0.5150  0.5000  0.9966  3 O 1.64-1.82
Se  0.3272  0.0000  0.3149  3 O 1.65-1.82
O  0.0364  0.7506  0.3282  2 Se 1.82
O  0.0001  0.0000  0.1654  1 Se 1.65
O  0.4245  0.5000  0.7686  1 Se 1.65
O  0.9999  0.0000  0.6654  1 Se 1.65
O  0.6021  0.7490  0.0769  2 Se 1.82
O  0.4435  0.0000  0.4156  1 Se 1.65
O  0.3979  0.7490  0.5769  2 Se 1.82
O  0.9636  0.7506  0.8282  2 Se 1.82
O  0.5755  0.5000  0.2686  1 Se 1.65
O  0.1451  0.5000  0.0117  1 Se 1.64
O  0.8549  0.5000  0.5117  1 Se 1.64
O  0.5565  0.0000  0.9156  1 Se 1.65
O  0.9636  0.2494  0.8282  2 Se 1.82
O  0.0364  0.2494  0.3282  2 Se 1.82
O  0.6021  0.2510  0.0769  2 Se 1.82
O  0.3979  0.2510  0.5769  2 Se 1.82

Output
Uncorrected energy (eV/cell): -278.5
Formation energy without anion corrections (eV per atom): -0.76
Space group: Pmc2_1 (26)


# 7
# SeO3

SeO3 at its PBEsol-relaxed geometry (meta-GGA SCAN, Alexandria).

Unit cell a=5.4084 b=9.7887 c=9.7887 alpha=90.00 beta=90.00 gamma=90.00
Last column: nearest neighbours and their distance in Å.
Fractional positions:
O  0.3046  0.2464  0.0981  1 Se 1.60
O  0.3396  0.6003  0.6179  2 Se 1.81-1.83
O  0.1604  0.8997  0.1179  2 Se 1.81-1.83
O  0.1954  0.2536  0.5981  1 Se 1.60
O  0.1954  0.7464  0.4019  1 Se 1.60
O  0.8046  0.5981  0.7464  1 Se 1.60
O  0.8396  0.1179  0.1003  2 Se 1.81-1.83
O  0.3396  0.3997  0.3821  2 Se 1.81-1.83
O  0.1108  0.0605  0.3393  1 Se 1.60
O  0.3046  0.7536  0.9019  1 Se 1.60
O  0.6108  0.8393  0.5605  1 Se 1.60
O  0.6604  0.3821  0.6003  2 Se 1.81-1.83
O  0.6954  0.9019  0.2464  1 Se 1.60
O  0.8892  0.6607  0.0605  1 Se 1.60
O  0.1108  0.9395  0.6607  1 Se 1.60
O  0.3892  0.5605  0.1607  1 Se 1.60
O  0.6604  0.6179  0.3997  2 Se 1.81-1.83
O  0.8046  0.4019  0.2536  1 Se 1.60
O  0.8396  0.8821  0.8997  2 Se 1.81-1.83
O  0.6108  0.1607  0.4395  1 Se 1.60
O  0.1604  0.1003  0.8821  2 Se 1.81-1.83
O  0.3892  0.4395  0.8393  1 Se 1.60
O  0.6954  0.0981  0.7536  1 Se 1.60
O  0.8892  0.3393  0.9395  1 Se 1.60
Se  0.5586  0.4909  0.2753  2 O 1.60
Se  0.9414  0.9909  0.2247  2 O 1.60
Se  0.5586  0.5091  0.7247  2 O 1.60
Se  0.4414  0.7247  0.4909  2 O 1.60
Se  0.9414  0.0091  0.7753  2 O 1.60
Se  0.0586  0.2247  0.0091  2 O 1.60
Se  0.4414  0.2753  0.5091  2 O 1.60
Se  0.0586  0.7753  0.9909  2 O 1.60

Output
Uncorrected energy (eV/cell): -323.1
Formation energy without anion corrections (eV per atom): -0.40
Space group: P-42_1c (114)